A | {
  "formula": "ZnTcBi3",
  "functional": "meta-GGA SCAN",
  "state": "PBEsol geometry",
  "dos_ef_per_ev_fu": 3.34,
  "spacegroup": "Pm-3m, No. 221",
  "cell": [[5.242, 0.000, 0.000], [0.000, 5.242, 0.000], [0.000, 0.000, 5.242]],
  "species": ["Zn", "Tc", "Bi", "Bi", "Bi"],
  "frac_coords": [[0.000, 0.000, 0.000], [0.500, 0.500, 0.500], [0.000, 0.500, 0.500], [0.500, 0.000, 0.500], [0.500, 0.500, 0.000]]
}

***

B | {
  "formula": "ZnTcBi3",
  "functional": "meta-GGA SCAN",
  "state": "PBEsol geometry",
  "dos_ef_per_ev_fu": 3.99,
  "spacegroup": "Pm-3m, No. 221",
  "cell": [[5.214, 0.000, 0.000], [0.000, 5.214, 0.000], [0.000, 0.000, 5.214]],
  "species": ["Zn", "Tc", "Bi", "Bi", "Bi"],
  "frac_coords": [[0.000, 0.000, 0.000], [0.500, 0.500, 0.500], [0.000, 0.000, 0.500], [0.000, 0.500, 0.000], [0.500, 0.000, 0.000]]
}

***

Which of them is most stable, and which least? Most stable: A; least stable: B.

***

A | {
  "formula": "Tl2Zn2Bi",
  "functional": "meta-GGA SCAN",
  "state": "PBEsol geometry",
  "dos_ef_per_ev_fu": 1.81,
  "spacegroup": "P4/mbm, No. 127",
  "cell": [[7.269, 0.000, 0.000], [0.000, 7.269, 0.000], [0.000, 0.000, 4.617]],
  "species": ["Tl", "Tl", "Tl", "Tl", "Zn", "Zn", "Zn", "Zn", "Bi", "Bi"],
  "frac_coords": [[0.178, 0.322, 0.000], [0.322, 0.822, 0.000], [0.678, 0.178, 0.000], [0.822, 0.678, 0.000], [0.121, 0.621, 0.500], [0.379, 0.121, 0.500], [0.621, 0.879, 0.500], [0.879, 0.379, 0.500], [0.000, 0.000, 0.500], [0.500, 0.500, 0.500]]
}

***

B | {
  "formula": "Tl2Zn2Bi",
  "functional": "meta-GGA SCAN",
  "state": "PBEsol geometry",
  "dos_ef_per_ev_fu": 2.34,
  "spacegroup": "I4/mmm, No. 139",
  "cell": [[4.387, 0.000, 0.000], [0.000, 4.387, 0.000], [0.000, 0.000, 12.433]],
  "species": ["Tl", "Tl", "Tl", "Tl", "Zn", "Zn", "Zn", "Zn", "Bi", "Bi"],
  "frac_coords": [[0.000, 0.500, 0.250], [0.000, 0.500, 0.750], [0.500, 0.000, 0.250], [0.500, 0.000, 0.750], [0.000, 0.000, 0.095], [0.000, 0.000, 0.905], [0.500, 0.500, 0.405], [0.500, 0.500, 0.595], [0.000, 0.000, 0.500], [0.500, 0.500, 0.000]]
}

***

Which of them is most stable, and which least? Most stable: A; least stable: B.

***

A | {
  "formula": "Br",
  "functional": "meta-GGA SCAN",
  "state": "PBEsol geometry",
  "dos_ef_per_ev_fu": 0.00,
  "spacegroup": "P-1, No. 2",
  "cell": [[5.463, 0.000, 0.000], [-0.926, 6.726, 0.000], [-2.457, -3.229, 8.127]],
  "species": ["Br", "Br", "Br", "Br", "Br", "Br", "Br", "Br"],
  "frac_coords": [[0.023, 0.017, 0.199], [0.270, 0.724, 0.812], [0.289, 0.223, 0.498], [0.461, 0.551, 0.201], [0.539, 0.449, 0.799], [0.711, 0.777, 0.502], [0.730, 0.276, 0.188], [0.977, 0.983, 0.801]]
}

***

B | {
  "formula": "Br",
  "functional": "meta-GGA SCAN",
  "state": "PBEsol geometry",
  "dos_ef_per_ev_fu": 0.00,
  "spacegroup": "Cmce, No. 64",
  "cell": [[7.152, 0.000, 0.000], [0.000, 3.998, 0.000], [0.000, 0.000, 8.546]],
  "species": ["Br", "Br", "Br", "Br", "Br", "Br", "Br", "Br"],
  "frac_coords": [[0.000, 0.155, 0.120], [0.000, 0.345, 0.620], [0.000, 0.655, 0.380], [0.000, 0.845, 0.880], [0.500, 0.155, 0.380], [0.500, 0.345, 0.880], [0.500, 0.655, 0.120], [0.500, 0.845, 0.620]]
}

***

C | {
  "formula": "Br",
  "functional": "meta-GGA SCAN",
  "state": "PBEsol geometry",
  "dos_ef_per_ev_fu": 0.00,
  "spacegroup": "Cmcm, No. 63",
  "cell": [[6.855, 0.000, 0.000], [0.000, 4.646, 0.000], [0.000, 0.000, 8.085]],
  "species": ["Br", "Br", "Br", "Br", "Br", "Br", "Br", "Br"],
  "frac_coords": [[0.000, 0.000, 0.000], [0.000, 0.000, 0.500], [0.000, 0.329, 0.250], [0.000, 0.671, 0.750], [0.500, 0.171, 0.750], [0.500, 0.500, 0.000], [0.500, 0.500, 0.500], [0.500, 0.829, 0.250]]
}

***

Which of them is most stable, and which least? Most stable: C; least stable: B.

***

A | {
  "formula": "Br",
  "functional": "meta-GGA SCAN",
  "state": "PBEsol geometry",
  "dos_ef_per_ev_fu": 0.82,
  "spacegroup": "Fd-3m, No. 227",
  "cell": [[6.873, 0.000, 0.000], [0.000, 6.873, 0.000], [0.000, 0.000, 6.873]],
  "species": ["Br", "Br", "Br", "Br", "Br", "Br", "Br", "Br"],
  "frac_coords": [[0.125, 0.125, 0.125], [0.125, 0.625, 0.625], [0.375, 0.375, 0.875], [0.375, 0.875, 0.375], [0.625, 0.125, 0.625], [0.625, 0.625, 0.125], [0.875, 0.375, 0.375], [0.875, 0.875, 0.875]]
}

***

B | {
  "formula": "Br",
  "functional": "meta-GGA SCAN",
  "state": "PBEsol geometry",
  "dos_ef_per_ev_fu": 0.49,
  "spacegroup": "P3_121, No. 152",
  "cell": [[4.072, 0.000, 0.000], [-2.036, 3.527, 0.000], [0.000, 0.000, 7.324]],
  "species": ["Br", "Br", "Br"],
  "frac_coords": [[0.000, 0.906, 0.167], [0.094, 0.094, 0.500], [0.906, 0.000, 0.833]]
}

***

Which of them is most stable, and which least? Most stable: B; least stable: A.

***

A | {
  "formula": "HfCBr3",
  "functional": "meta-GGA SCAN",
  "state": "PBEsol geometry",
  "dos_ef_per_ev_fu": 8.44,
  "spacegroup": "Pm-3m, No. 221",
  "cell": [[5.152, 0.000, 0.000], [0.000, 5.152, 0.000], [0.000, 0.000, 5.152]],
  "species": ["Hf", "C", "Br", "Br", "Br"],
  "frac_coords": [[0.000, 0.000, 0.000], [0.500, 0.500, 0.500], [0.000, 0.000, 0.500], [0.000, 0.500, 0.000], [0.500, 0.000, 0.000]]
}

***

B | {
  "formula": "HfCBr3",
  "functional": "meta-GGA SCAN",
  "state": "PBEsol geometry",
  "dos_ef_per_ev_fu": 3.87,
  "spacegroup": "Pm-3m, No. 221",
  "cell": [[4.551, 0.000, 0.000], [0.000, 4.551, 0.000], [0.000, 0.000, 4.551]],
  "species": ["Hf", "C", "Br", "Br", "Br"],
  "frac_coords": [[0.000, 0.000, 0.000], [0.500, 0.500, 0.500], [0.000, 0.500, 0.500], [0.500, 0.000, 0.500], [0.500, 0.500, 0.000]]
}

***

Which of them is most stable, and which least? Most stable: A; least stable: B.

***

A | {
  "formula": "CaBr5",
  "functional": "meta-GGA SCAN",
  "state": "PBEsol geometry",
  "dos_ef_per_ev_fu": 4.19,
  "spacegroup": "P-62m, No. 189",
  "cell": [[5.285, 0.000, 0.000], [-2.643, 4.577, 0.000], [0.000, 0.000, 6.678]],
  "species": ["Ca", "Br", "Br", "Br", "Br", "Br"],
  "frac_coords": [[0.000, 0.000, 0.000], [0.000, 0.676, 0.500], [0.324, 0.324, 0.500], [0.333, 0.667, 0.000], [0.667, 0.333, 0.000], [0.676, 0.000, 0.500]]
}

***

B | {
  "formula": "CaBr5",
  "functional": "meta-GGA SCAN",
  "state": "PBEsol geometry",
  "dos_ef_per_ev_fu": 3.41,
  "spacegroup": "F-43m, No. 216",
  "cell": [[0.000, 4.297, 4.297], [4.297, 0.000, 4.297], [4.297, 4.297, 0.000]],
  "species": ["Ca", "Br", "Br", "Br", "Br", "Br"],
  "frac_coords": [[0.000, 0.000, 0.000], [0.375, 0.375, 0.375], [0.375, 0.375, 0.875], [0.375, 0.875, 0.375], [0.750, 0.750, 0.750], [0.875, 0.375, 0.375]]
}

***

Which of them is most stable, and which least? Most stable: A; least stable: B.

***

A | {
  "formula": "Ca2CdBr",
  "functional": "meta-GGA SCAN",
  "state": "PBEsol geometry",
  "dos_ef_per_ev_fu": 2.45,
  "spacegroup": "Amm2, No. 38",
  "cell": [[5.038, 0.000, 0.000], [0.000, 3.751, 0.000], [0.000, 0.000, 12.232]],
  "species": ["Ca", "Ca", "Ca", "Ca", "Cd", "Cd", "Br", "Br"],
  "frac_coords": [[0.000, 0.000, 0.000], [0.000, 0.500, 0.500], [0.500, 0.000, 0.261], [0.500, 0.500, 0.761], [0.500, 0.000, 0.526], [0.500, 0.500, 0.026], [0.000, 0.000, 0.758], [0.000, 0.500, 0.258]]
}

***

B | {
  "formula": "Ca2CdBr",
  "functional": "meta-GGA SCAN",
  "state": "PBEsol geometry",
  "dos_ef_per_ev_fu": 2.23,
  "spacegroup": "Imm2, No. 44",
  "cell": [[3.656, 0.000, 0.000], [0.000, 3.869, 0.000], [0.000, 0.000, 16.629]],
  "species": ["Ca", "Ca", "Ca", "Ca", "Cd", "Cd", "Br", "Br"],
  "frac_coords": [[0.000, 0.000, 0.000], [0.000, 0.500, 0.258], [0.500, 0.000, 0.758], [0.500, 0.500, 0.500], [0.000, 0.500, 0.855], [0.500, 0.000, 0.355], [0.000, 0.000, 0.600], [0.500, 0.500, 0.100]]
}

***

Which of them is most stable, and which least? Most stable: B; least stable: A.

***

A | {
  "formula": "Ca2BrCl",
  "functional": "meta-GGA SCAN",
  "state": "PBEsol geometry",
  "dos_ef_per_ev_fu": 1.99,
  "spacegroup": "R-3m, No. 166",
  "cell": [[3.778, 0.000, 0.000], [-1.889, 3.272, 0.000], [0.000, 0.000, 24.010]],
  "species": ["Ca", "Ca", "Ca", "Ca", "Ca", "Ca", "Br", "Br", "Br", "Cl", "Cl", "Cl"],
  "frac_coords": [[0.000, 0.000, 0.244], [0.000, 0.000, 0.756], [0.333, 0.667, 0.422], [0.333, 0.667, 0.911], [0.667, 0.333, 0.089], [0.667, 0.333, 0.578], [0.000, 0.000, 0.000], [0.333, 0.667, 0.667], [0.667, 0.333, 0.333], [0.000, 0.000, 0.500], [0.333, 0.667, 0.167], [0.667, 0.333, 0.833]]
}

***

B | {
  "formula": "Ca2BrCl",
  "functional": "meta-GGA SCAN",
  "state": "PBEsol geometry",
  "dos_ef_per_ev_fu": 1.13,
  "spacegroup": "Immm, No. 71",
  "cell": [[3.682, 0.000, 0.000], [0.000, 7.105, 0.000], [0.000, 0.000, 8.947]],
  "species": ["Ca", "Ca", "Ca", "Ca", "Br", "Br", "Cl", "Cl"],
  "frac_coords": [[0.000, 0.000, 0.238], [0.000, 0.000, 0.762], [0.500, 0.500, 0.262], [0.500, 0.500, 0.738], [0.000, 0.500, 0.000], [0.500, 0.000, 0.500], [0.000, 0.500, 0.500], [0.500, 0.000, 0.000]]
}

***

Which of them is most stable, and which least? Most stable: B; least stable: A.